A plane-wave DFT calculation with PBE was carried out for an optimized crystal structure of DyGaHg2.

```
DyGaHg2
1.0
4.7086 0.0000 0.0000
0.0000 3.2788 -0.4310
0.0000 -0.0524 6.0910
Hg Ga Dy
2 1 1
Direct
0.0000 0.3350 0.5024
0.0000 0.1650 0.9976
0.5000 0.2500 0.7500
0.5000 0.7500 0.2500
```

## Properties
- D(E_F) (states/eV per cell) = 2.22
- mass density (Mg/m³) = 11.20
- calculated total energy (eV/atom) = -2.31


A plane-wave DFT calculation with PBE was carried out for an optimized crystal structure of AcTm2Cu.

```
AcTm2Cu
1.0
-1.3536 -3.2857 -1.3003
0.7792 -1.1008 -3.5355
7.8122 -6.0189 1.5707
Tm Ac Cu
2 1 1
Direct
0.7272 0.7272 0.8185
0.2728 0.2728 0.1815
0.5000 0.5000 0.5000
0.0000 0.0000 0.0000
```

## Properties
- polymorph energy (0 for the lowest one) (meV per atom) = 103
- D(E_F) (states/eV per cell) = 5.29
- mass density (Mg/m³) = 8.64


A plane-wave DFT calculation with PBE was carried out for an optimized crystal structure of KPdBrF2.

```
KPdBrF2
1.0
4.4267 0.0000 0.0000
0.0000 4.4267 0.0000
0.0000 0.0000 5.1321
K Br Pd F
1 1 1 2
Direct
0.5000 0.5000 0.5000
0.0000 0.0000 0.5000
0.0000 0.0000 0.0000
0.5000 0.0000 0.0000
0.0000 0.5000 0.0000
```

## Properties
- polymorph energy (0 for the lowest one) (meV per atom) = 150
- D(E_F) (states/eV per cell) = 1.70
- formation energy without anion corrections (eV/f.u.) = -7.184
- mass density (Mg/m³) = 4.35


A plane-wave DFT calculation with PBE was carried out for an optimized crystal structure of Ac2CuRhO6.

```
Ac2CuRhO6
1.0
5.7346 0.0000 -0.0191
0.0000 5.7526 0.0000
0.0229 0.0000 8.0501
Rh O Ac Cu
2 12 4 2
Direct
0.5000 0.0000 0.5000
0.0000 0.5000 0.0000
0.7074 0.2839 0.5396
0.2074 0.2161 0.0396
0.2926 0.7161 0.4604
0.4269 0.9888 0.7491
0.9269 0.5112 0.2491
0.2152 0.2083 0.4612
0.0731 0.4888 0.7509
0.7848 0.7917 0.5388
0.7926 0.7839 0.9604
0.2848 0.7083 0.0388
0.5731 0.0112 0.2509
0.7152 0.2917 0.9612
0.4936 0.4584 0.2497
0.0064 0.9584 0.2503
0.5064 0.5416 0.7503
0.9936 0.0416 0.7497
0.5000 0.0000 0.0000
0.0000 0.5000 0.5000
```

## Properties
- D(E_F) (states/eV per cell) = 9.95
- formation energy without anion corrections (eV/f.u.) = -20.413
- mass density (Mg/m³) = 8.96


A plane-wave DFT calculation with PBE was carried out for an optimized crystal structure of NaPmSO4.

```
NaPmSO4
1.0
7.3754 0.0000 0.0000
3.6877 5.6110 -0.2447
3.6877 1.4763 5.4188
O Na S Pm
8 2 2 2
Direct
0.7925 0.7565 0.2565
0.7076 0.7177 0.8670
0.7076 0.3670 0.2177
0.1945 0.7565 0.2565
0.2924 0.6330 0.7823
0.8055 0.2435 0.7435
0.2075 0.2435 0.7435
0.2924 0.2823 0.1330
0.5000 0.0000 0.5000
0.0000 0.0000 0.5000
0.6078 0.6422 0.1422
0.3922 0.3578 0.8578
0.0000 0.0000 0.0000
0.0000 0.5000 0.5000
```

## Properties
- D(E_F) (states/eV per cell) = 0.00
- formation energy without anion corrections (eV/f.u.) = -12.678
- mass density (Mg/m³) = 3.86


A plane-wave DFT calculation with PBE was carried out for an optimized crystal structure of PmAl3CoIr.

```
PmAl3CoIr
1.0
5.5781 0.0000 0.0000
0.0000 7.5700 0.0000
0.0000 -3.7850 5.3241
Ir Pm Al Co
2 2 6 2
Direct
0.7500 0.5938 0.1877
0.2500 0.4062 0.8123
0.2500 0.7171 0.4341
0.7500 0.2829 0.5659
0.0000 0.2534 0.0000
0.5000 0.2534 0.0000
0.2500 0.1757 0.3513
0.0000 0.7466 0.0000
0.5000 0.7466 0.0000
0.7500 0.8243 0.6487
0.7500 0.0363 0.0725
0.2500 0.9637 0.9275
```

## Properties
- D(E_F) (states/eV per cell) = 4.93
- mass density (Mg/m³) = 7.05
- calculated total energy (eV/atom) = -5.77